First-principles (PBE-GGA) data for a geometry-optimized BaAlP2Cl structure, as listed in Alexandria via LeMat-Bulk.

Computed properties:
uncorrected formation energy: 0.596 eV per atom
final energy: -3.07 eV/atom
ΔE to the lowest computed polymorph: 1340 meV per atom

a b c (Å): 6.2753 6.2753 5.8629
angles (deg): 90.00 90.00 90.00
With the nearest neighbours (Å) after each atom.
Fractional coordinates of all 5 atoms:
Ba1 0.0000 0.0000 0.0000  2 Cl 2.93, 4 P 3.14
P1 0.5000 0.0000 0.0000  2 Ba 3.14
Cl1 0.0000 0.0000 0.5000  2 Ba 2.93
P2 0.0000 0.5000 0.0000  2 Ba 3.14
Al1 0.5000 0.5000 0.5000  8 P 4.29, 4 Cl 4.44